Entry 1:
Computed, not measured: AcPm2Pr5 after structural relaxation at the PBE-GGA level of DFT.

Output
**Energy above the most stable polymorph in this dataset**: 21 meV/atom

The structure in POSCAR format:
```
AcPm2Pr5
1.0
3.6380 -0.9149 8.0751
11.8582 -12.8661 4.9329
12.6883 -0.6177 0.7548
Ac Pr Pm
4 20 8
Cartesian
23.7932 -11.7582 12.1521
4.3912 -2.6405 1.6107
18.8465 -9.6036 7.4743
9.3379 -4.7951 6.2884
17.6095 -8.3600 10.8000
15.8382 -11.8222 7.1249
11.5392 -5.0282 9.3786
6.9849 -6.5267 3.9483
8.8784 -1.0800 6.9229
15.4035 -8.1327 7.7409
21.1995 -7.8720 9.8144
9.8002 -8.4737 5.6935
21.6132 -11.5467 9.1355
12.3462 -2.5765 6.6379
16.6452 -9.3705 4.3841
22.8735 -12.7799 5.8459
18.3842 -5.9250 8.0693
14.6797 -10.6067 10.4224
5.3109 -1.6188 7.9169
10.5750 -6.0387 2.9628
13.5047 -3.7920 3.3404
19.3060 -13.3187 6.8399
6.5712 -2.8520 4.6273
12.7809 -6.2660 6.0219
18.0247 -12.0929 10.1705
3.1518 -1.4062 4.9293
11.9121 -8.6871 8.6873
13.1506 -9.9309 5.4122
16.2724 -5.7116 5.0754
25.0326 -12.9925 8.8334
15.0338 -4.4678 8.3506
10.1597 -2.3058 3.5922
```

Entry 2:
Computed, not measured: Ac3Pm5Pr after structural relaxation at the PBE-GGA level of DFT.

Output
**VASP energy**: -0.3006 Ry/atom

The structure in POSCAR format:
```
Ac3Pm5Pr
1.0
-7.2256 3.5739 0.1891
-3.8721 0.6909 -7.0390
-6.6595 -10.8151 1.2239
Pr Pm Ac
2 10 6
Cartesian
-6.3735 -7.4881 0.0296
-11.3838 0.9377 -5.6556
-9.4440 1.0403 -1.8348
-8.3133 -7.5906 -3.7912
-8.2976 -1.6812 -3.1791
-9.2729 -9.4364 -0.5385
-10.3130 -5.8715 0.5188
-8.4844 2.8860 -5.0875
-6.1005 2.6066 -2.2360
-4.9973 1.6582 -4.6139
-9.4597 -4.8691 -2.4469
-7.4443 -0.6788 -6.1448
-5.3065 -0.8247 -2.1330
-11.4217 -2.4079 -4.3388
0.0000 0.0000 0.0000
-12.4508 -5.7256 -3.4930
-3.3298 -5.4076 0.6120
-6.3357 -4.1425 -1.2872
```

Entry 3:
Computed, not measured: Ac3Pm7Pr after structural relaxation at the PBE-GGA level of DFT.

Output
**VASP energy**: -0.3237 Ry/atom

The structure in POSCAR format:
```
Ac3Pm7Pr
1.0
9.1019 0.0000 0.0000
0.0000 7.4198 0.0000
0.0000 -3.7099 6.4257
Pm Ac Pr
7 3 1
Cartesian
1.1549 3.7099 2.1419
1.1295 -1.8511 5.3525
4.0195 1.8623 1.0752
4.0195 3.7099 4.2753
1.1295 0.0000 2.1464
1.1295 1.8511 5.3525
4.0195 5.5575 1.0752
7.1330 5.5634 3.2120
7.1330 1.8564 3.2120
7.1330 3.7099 0.0017
4.0050 0.0000 4.2838
```

Entry 4:
Computed, not measured: Ac2Pm3Pr6 after structural relaxation at the PBE-GGA level of DFT.

Output
**Energy above the most stable polymorph in this dataset**: 0 meV/atom

The structure in POSCAR format:
```
Ac2Pm3Pr6
1.0
-3.1596 -1.5806 1.2765
-2.2643 -1.8451 -2.3621
14.9158 -29.5796 5.8208
Pr Pm Ac
6 3 2
Cartesian
11.6246 -28.1995 4.9106
-0.9734 -10.9935 0.5598
5.8024 -14.0829 2.4517
3.6894 -18.9225 2.2836
10.4653 -22.0118 4.1755
-2.1328 -4.8058 -0.1754
8.3306 -26.8145 3.9994
1.1612 -6.1909 0.7358
0.0000 0.0000 0.0000
7.0756 -20.4641 3.2289
2.4163 -12.5412 1.5064
```

Entry 5:
Computed, not measured: Ac6Pm3Pr2 after structural relaxation at the PBE-GGA level of DFT.

Output
**VASP energy**: -0.3110 Ry/atom

The structure in POSCAR format:
```
Ac6Pm3Pr2
1.0
6.4033 0.0000 1.9103
3.2017 5.7934 0.9551
-1.3028 0.0000 12.1821
Pm Ac Pr
3 6 2
Cartesian
6.4033 3.8691 1.9103
3.2017 1.9243 0.9552
0.0000 0.0000 0.0000
4.4665 1.9249 4.5034
3.8241 0.0000 10.5346
7.6682 3.8685 5.4586
1.2765 0.0000 3.5579
0.6341 1.9249 9.5890
3.8357 3.8685 10.5441
2.5503 3.8631 7.0462
5.7520 1.9303 8.0014
```

Entry 6:
Computed, not measured: Ac2Pm4Pr after structural relaxation at the PBE-GGA level of DFT.

Output
**Energy above the most stable polymorph in this dataset**: 0 meV/atom

The structure in POSCAR format:
```
Ac2Pm4Pr
1.0
8.3749 0.0001 -2.9617
-4.2045 7.2451 -2.9633
0.0343 0.0001 8.8884
Pm Ac Pr
8 4 2
Cartesian
3.4645 0.7036 0.1699
2.1965 5.4787 -3.7444
5.6075 1.8576 4.8121
5.5162 4.3253 1.7269
-0.7229 2.9190 1.6507
-2.8758 6.5424 0.2444
1.4200 1.7652 6.2930
2.2136 5.3890 0.6998
2.5887 2.6432 3.0235
6.7762 0.9795 1.5427
-0.4865 4.6027 -1.5415
-0.4692 6.2650 2.9028
4.1701 7.2449 -5.9247
4.1872 3.6228 -1.4805
```

Entry 7:
Computed, not measured: Ac4Pm9Pr11 after structural relaxation at the PBE-GGA level of DFT.

Output
**VASP energy**: -0.3381 Ry/atom

The structure in POSCAR format:
```
Ac4Pm9Pr11
1.0
3.7024 0.0000 0.0000
0.0000 15.1082 -3.3539
0.0000 2.8532 15.2107
Pm Pr Ac
9 11 4
Cartesian
1.8512 14.2436 2.7610
1.8512 1.1118 3.0083
1.8512 3.7178 9.0959
1.8512 9.8251 -0.1558
1.8512 16.8496 8.8485
1.8512 8.9807 5.9284
1.8512 3.2032 -0.1598
1.8512 8.1363 12.0126
1.8512 14.7582 12.0167
0.0000 15.6676 5.8181
0.0000 10.9507 2.9441
0.0000 6.4543 -0.2638
0.0000 7.0107 8.9127
0.0000 13.6962 9.0412
0.0000 11.5071 12.1206
0.0000 13.0411 -0.2224
0.0000 2.2939 6.0387
0.0000 4.2653 2.8156
0.0000 4.9204 12.0793
0.0000 0.0000 0.0000
1.8512 12.4669 5.9347
1.8512 5.4946 5.9221
1.8512 7.6049 2.7252
1.8512 10.3565 9.1316
```

Entry 8:
Computed, not measured: Ac6PmPr5 after structural relaxation at the PBE-GGA level of DFT.

Output
**VASP energy**: -0.3249 Ry/atom

The structure in POSCAR format:
```
Ac6PmPr5
1.0
5.2897 0.0226 -1.5437
-1.4617 9.3551 -4.8714
0.0926 -0.7653 10.1400
Pm Ac Pr
1 6 5
Cartesian
0.0000 0.0000 0.0000
-0.4299 8.3277 -1.3510
0.3030 3.6374 1.0913
2.3737 1.5746 8.1556
3.6177 4.9749 2.6336
4.3506 0.2846 5.0760
1.5470 7.0377 -4.4306
1.3384 2.6173 4.6246
3.3133 1.3186 1.5381
0.6073 7.2937 2.1869
2.5823 5.9950 -0.8996
-0.7308 4.6775 -2.4357
```

Entry 9:
Computed, not measured: AcPm7Pr12 after structural relaxation at the PBE-GGA level of DFT.

Output
**Energy above the most stable polymorph in this dataset**: 0 meV/atom

The structure in POSCAR format:
```
AcPm7Pr12
1.0
8.7670 1.0781 1.6182
-1.4022 8.7210 1.6182
-1.4022 -1.8656 8.6715
Pr Pm Ac
12 7 1
Cartesian
0.2440 5.0795 9.2806
4.8113 7.9303 5.0943
-0.2950 3.4309 6.4899
1.1513 0.0032 6.8135
6.2577 4.5026 5.4180
2.5850 2.2026 8.7893
5.7186 2.8540 2.6272
6.2797 2.0719 8.2621
3.3776 5.7309 3.1185
1.3970 6.9190 6.2420
4.5657 1.0145 5.6658
-0.3171 5.8616 3.6457
-0.2264 0.7355 3.7206
0.7695 3.4385 1.4211
2.9813 3.9667 5.9539
5.1932 4.4949 10.4868
2.8737 7.2750 9.7960
6.1890 7.1980 8.1872
3.0890 0.6585 2.1118
0.0000 0.0000 0.0000
```

Entry 10:
Computed, not measured: Ac3Pm2Pr3 after structural relaxation at the PBE-GGA level of DFT.

Output
**Energy above the most stable polymorph in this dataset**: 75 meV/atom

The structure in POSCAR format:
```
Ac3Pm2Pr3
1.0
-4.8596 3.9758 0.5132
-0.7409 -1.6835 6.0269
4.8683 5.6690 2.1820
Pm Ac Pr
2 3 3
Cartesian
1.1783 1.3720 0.5281
3.6900 4.2969 1.6539
0.0043 4.8224 1.3476
2.0637 1.9927 4.1044
-0.3704 -0.8417 3.0134
-1.6275 2.5118 3.7957
-2.4298 1.9879 0.2566
0.8952 5.4494 4.9263
```

Entry 11:
Computed, not measured: Ac8PmPr4 after structural relaxation at the PBE-GGA level of DFT.

Output
**VASP energy**: -0.3186 Ry/atom

The structure in POSCAR format:
```
Ac8PmPr4
1.0
-3.1709 1.3122 4.3326
8.1058 -9.7230 12.4023
3.1821 3.4262 4.8165
Pr Ac Pm
4 8 1
Cartesian
5.0690 -5.5679 15.9721
5.1141 -0.9496 11.0811
2.6290 0.9984 5.1470
2.5929 -3.6132 10.0426
8.8835 -6.1678 15.4201
-1.1873 1.5974 5.6979
4.4762 -1.6651 7.3056
3.2283 -2.8990 13.8167
7.0189 -3.4894 13.2443
4.4671 -6.2790 12.2216
3.2348 1.7113 8.8998
0.6846 -1.0752 7.8773
9.4919 -5.4344 19.1686
```

Entry 12:
Computed, not measured: AcPmPrPt2 after structural relaxation at the PBE-GGA level of DFT.

Output
**VASP energy**: -0.4451 Ry/atom

The structure in POSCAR format:
```
AcPmPrPt2
1.0
-1.6715 -4.3329 -0.2199
6.9731 -5.2811 1.9056
-2.6923 -1.8291 7.3552
Pt Pm Pr Ac
4 2 2 2
Cartesian
2.2505 -6.2678 8.0952
4.4589 -6.9480 4.7118
-1.8496 -4.4950 4.3291
0.3587 -5.1752 0.9458
-1.9202 -2.0497 5.8340
4.5295 -9.3933 3.2069
-0.3661 -5.1994 6.9324
2.9753 -6.2436 2.1085
1.9989 -8.5532 5.8876
0.6104 -2.8899 3.1533
```

Entry 13:
Computed, not measured: AcPmPrRh2 after structural relaxation at the PBE-GGA level of DFT.

Output
**VASP energy**: -0.4601 Ry/atom

The structure in POSCAR format:
```
AcPmPrRh2
1.0
4.3863 0.0000 0.0000
2.1931 8.7386 -0.8617
2.1931 0.5063 7.5620
Ac Pm Pr Rh
2 2 2 4
Cartesian
6.5794 6.6405 4.1577
2.1931 2.6044 2.5426
2.1931 0.7897 5.8874
6.5794 8.4552 0.8130
4.3863 5.5448 0.5642
4.3863 3.7001 6.1362
4.3863 1.3077 4.2062
4.3863 6.7228 6.2969
4.3863 7.9372 2.4941
4.3863 2.5221 0.4034
```

Entry 14:
Computed, not measured: AcPm2PrS4 after structural relaxation at the PBE-GGA level of DFT.

Output
**Formation energy without anion corrections**: -16.1 eV per formula unit

The structure in POSCAR format:
```
AcPm2PrS4
1.0
4.0849 0.0000 0.0000
0.0000 7.1887 -0.1767
0.0000 2.4978 6.6818
Pr Pm S Ac
1 2 4 1
Cartesian
0.0000 4.8432 3.2526
2.0425 1.2489 3.3409
0.0000 2.4978 6.6818
2.0425 6.0946 1.5433
0.0001 7.3454 4.8097
4.0849 2.3411 1.6954
2.0425 3.5919 4.9618
2.0425 3.5944 -0.0883
```

Entry 15:
Computed, not measured: Ac3PmPr3S8 after structural relaxation at the PBE-GGA level of DFT.

Output
**Formation energy without anion corrections**: -30.6 eV per formula unit

The structure in POSCAR format:
```
Ac3PmPr3S8
1.0
8.3038 0.0000 0.0000
-4.1519 7.1913 -0.0254
0.0000 -4.7696 6.9672
S Pm Pr Ac
8 1 3 3
Cartesian
0.0000 -0.0198 5.1087
4.1519 0.0182 5.1346
-2.1088 3.6327 5.0957
4.1519 2.4415 1.8331
2.0430 -1.2111 1.8461
0.0000 2.4035 1.8072
2.1089 3.6327 5.0957
6.2607 -1.2111 1.8461
0.0000 -2.3848 3.4836
4.1519 -2.3848 3.4836
2.0759 1.2108 3.4709
-2.0759 1.2108 3.4709
-2.0759 3.5956 -0.0127
0.0000 0.0000 0.0000
2.0759 3.5956 -0.0127
```

Entry 16:
Computed, not measured: AcPm2Pr3S6 after structural relaxation at the PBE-GGA level of DFT.

Output
**Formation energy without anion corrections**: -24.2 eV per formula unit

The structure in POSCAR format:
```
AcPm2Pr3S6
1.0
7.1415 -0.0088 -0.0033
-3.5767 6.1814 -0.0033
-1.1921 -2.0640 6.7135
Pr S Pm Ac
3 6 2 1
Cartesian
-2.4130 4.1330 3.3534
1.1864 2.0542 3.3534
4.7858 -0.0245 3.3534
2.4452 -0.0029 1.6804
-1.2245 2.1165 1.6804
3.5973 1.9920 5.0265
-0.0724 4.1114 5.0265
2.3411 4.0536 1.6518
0.0317 0.0549 5.0551
3.5756 2.0506 -0.0033
-0.0108 4.1219 -0.0033
0.0000 0.0000 0.0000
```

Entry 17:
Computed, not measured: Ac4Pm3PrS8 after structural relaxation at the PBE-GGA level of DFT.

Output
**Formation energy without anion corrections**: -32.1 eV per formula unit

The structure in POSCAR format:
```
Ac4Pm3PrS8
1.0
8.3394 0.0000 0.0000
0.0000 8.3748 0.0200
-4.1697 -4.1652 5.8993
S Ac Pm Pr
8 4 3 1
Cartesian
2.0653 2.0310 5.8403
-2.0653 2.0310 5.8403
0.0000 0.1142 3.0282
0.0000 4.0934 2.9181
6.2350 2.1787 0.0790
2.1044 2.1787 0.0790
4.1697 0.1162 3.0012
4.1697 4.0954 2.8911
0.0000 0.0000 0.0000
4.1697 0.0000 0.0000
2.0849 -2.0826 2.9497
-2.0849 -2.0826 2.9497
2.0849 2.1048 2.9597
4.1697 4.1874 0.0100
-2.0849 2.1048 2.9597
0.0000 4.1874 0.0100
```

Entry 18:
Computed, not measured: Ac2PmPr3S6 after structural relaxation at the PBE-GGA level of DFT.

Output
**Formation energy without anion corrections**: -24.1 eV per formula unit

The structure in POSCAR format:
```
Ac2PmPr3S6
1.0
7.2187 -0.0074 -0.0030
-3.6140 6.2489 -0.0030
-1.2056 -2.0875 6.7876
Ac Pr S Pm
2 3 6 1
Cartesian
0.0044 4.1591 -0.0030
3.6003 2.0824 -0.0030
-2.3898 4.1500 3.3908
4.7889 0.0040 3.3908
1.1996 2.0770 3.3908
0.0568 4.1604 5.0574
-1.1761 2.0257 1.7243
2.4359 4.2177 1.7439
-0.0368 -0.0637 5.0377
3.5752 2.1283 5.0574
2.3424 -0.0064 1.7243
0.0000 0.0000 0.0000
```

Entry 19:
Computed, not measured: Ac3PmPr2S6 after structural relaxation at the PBE-GGA level of DFT.

Output
**Formation energy without anion corrections**: -24.2 eV per formula unit

The structure in POSCAR format:
```
Ac3PmPr2S6
1.0
7.2604 -0.0059 -0.0025
-3.6336 6.2858 -0.0025
-1.2125 -2.0994 6.8561
Pm Pr Ac S
1 2 3 6
Cartesian
0.0000 0.0000 0.0000
3.6280 2.0919 -0.0025
-0.0012 4.1879 -0.0025
1.2072 2.0902 3.4256
-2.4102 4.1794 3.4256
4.8246 0.0010 3.4256
0.0225 4.1855 5.2379
-1.1997 2.0692 1.6132
2.4304 4.2082 1.6223
-0.0160 -0.0277 5.2288
3.6141 2.1112 5.2379
2.3918 -0.0050 1.6132
```

Number 1: total moment 0.0 μB per formula unit. Number 2: total moment 0.0 μB per formula unit. Number 3: total moment 0.0 μB per formula unit. Number 4: total moment 0.0 μB per formula unit. Number 5: total moment 0.0 μB per formula unit. Number 6: total moment 0.0 μB per formula unit. Number 7: total moment 0.0 μB per formula unit. Number 8: total moment 0.0 μB per formula unit. Number 9: total moment 0.0 μB per formula unit. Number 10: total moment 0.0 μB per formula unit. Number 11: total moment 0.0 μB per formula unit. Number 12: total moment 0.0 μB per formula unit. Number 13: total moment 0.0 μB per formula unit. Number 14: total moment 0.0 μB per formula unit. Number 15: total moment 0.0 μB per formula unit. Number 16: total moment 0.0 μB per formula unit. Number 17: total moment 0.0 μB per formula unit. Number 18: total moment 0.0 μB per formula unit. Number 19: total moment 0.0 μB per formula unit.